The following is a DFT calculation (PBE+U) of crystalline CoP3H12NO7 at its relaxed geometry.

```
data_CoP3H12NO7
_cell_length_a 7.483
_cell_length_b 15.225
_cell_length_c 9.873
_cell_angle_alpha 90.00
_cell_angle_beta 117.10
_cell_angle_gamma 90.00
_space_group_name_H-M_alt 'P 1 21/c 1'
_space_group_IT_number 14
loop_
_space_group_symop_operation_xyz
'x,y,z'
'-x,-y,-z'
'-x,y+1/2,-z+1/2'
'x,-y+1/2,z+1/2'
loop_
_atom_site_label
_atom_site_type_symbol
_atom_site_fract_x
_atom_site_fract_y
_atom_site_fract_z
Co1 Co 0.009 0.171 0.406
P1 P 0.102 0.653 0.454
P2 P 0.231 0.172 0.807
P3 P 0.420 0.572 0.226
H1 H 0.091 0.115 0.824
H2 H 0.106 0.135 0.113
H3 H 0.157 0.003 0.455
H4 H 0.194 0.572 0.519
H5 H 0.242 0.047 0.349
H6 H 0.318 0.688 0.784
H7 H 0.321 0.646 0.944
H8 H 0.370 0.530 0.332
H9 H 0.418 0.128 0.892
H10 H 0.439 0.592 0.859
H11 H 0.466 0.189 0.546
H12 H 0.494 0.153 0.203
N1 N 0.404 0.655 0.885
O1 O 0.133 0.051 0.381
O2 O 0.155 0.717 0.587
O3 O 0.163 0.679 0.332
O4 O 0.188 0.174 0.642
O5 O 0.225 0.591 0.080
O6 O 0.244 0.242 0.391
O7 O 0.422 0.019 0.294
```

Its density of states at the Fermi level is 0.0000 states/eV/atom. The total DFT energy (no corrections) is -5.32 eV per atom. As for the crystal system: monoclinic. The volume comes out at 1001 Å³/cell.